Sc2TaRuAu after structural relaxation. Source: the Alexandria database, functional GGA-PBE.

Summary:
ΔE_f ... 1314 meV/atom
Space-group type ... P4/mmm (123)
Final energy ... -6.100 eV/atom

The structure in extended XYZ format:
```
5
Lattice="5.0523 0.0000 0.0000 0.0000 5.0523 0.0000 0.0000 0.0000 4.9002" Properties=species:S:1:pos:R:3 pbc="T T T"
Sc 0.0000 2.5262 0.0000
Sc 2.5262 0.0000 0.0000
Ta 0.0000 0.0000 0.0000
Ru 2.5262 2.5262 2.4501
Au 0.0000 0.0000 2.4501
```

---

YAl2Te after structural relaxation. Source: the Alexandria database, functional GGA-PBE.

Summary:
Uncorrected formation energy ... -3 kJ per mole of atoms
Space-group type ... R-3m (166)
Final energy ... -4.308 eV/atom

The structure in extended XYZ format:
```
4
Lattice="1.8738 1.0818 8.4669 -1.8738 1.0818 8.4669 0.0000 -2.1637 8.4669" Properties=species:S:1:pos:R:3 pbc="T T T"
Y 0.0000 0.0000 0.0000
Al 0.0000 0.0000 6.1252
Al 0.0000 0.0000 19.2755
Te 0.0000 0.0000 12.7004
```

---

LuZrTiZn after structural relaxation. Source: the Alexandria database, functional GGA-PBE.

Summary:
ΔE_f ... 24 meV/atom
Space-group type ... F-43m (216)
Final energy ... -5.536 eV/atom

The structure in extended XYZ format:
```
4
Lattice="0.0000 3.4673 3.4673 3.4673 0.0000 3.4673 3.4673 3.4673 0.0000" Properties=species:S:1:pos:R:3 pbc="T T T"
Lu 0.0000 0.0000 0.0000
Zr 3.4673 3.4673 3.4673
Ti 5.2009 5.2009 5.2009
Zn 1.7336 1.7336 1.7336
```

---

CsTl2TcS4 after structural relaxation. Source: the Alexandria database, functional GGA-PBE.

Summary:
Uncorrected formation energy ... -29 kJ per mole of atoms
Space-group type ... Imma (74)
Final energy ... -4.353 eV/atom

The structure in extended XYZ format:
```
16
Lattice="-3.9200 4.3533 6.1238 3.9200 -4.3533 6.1238 3.9200 4.3533 -6.1238" Properties=species:S:1:pos:R:3 pbc="T T T"
Cs 0.0000 0.0000 0.0000
Cs 0.0000 4.3533 0.0000
Tl 3.9200 0.0000 0.0000
Tl -1.9600 2.1767 3.0619
Tl 0.0000 0.0000 6.1238
Tl 1.9600 2.1767 3.0619
Tc 1.9600 2.1767 -3.0619
Tc 1.9600 -2.1767 3.0619
S 3.9200 -0.5478 2.9593
S 2.1535 2.1767 -0.7015
S 5.6865 2.1767 -0.7015
S 3.9200 3.8055 -2.9593
S 0.0000 0.5478 9.0831
S -1.7665 2.1767 6.8253
S 1.7665 2.1767 6.8253
S 0.0000 4.9012 3.1645
```

---

Sm2ErAg after structural relaxation. Source: the Alexandria database, functional GGA-PBE.

Summary:
ΔE to the lowest computed polymorph ... 161 meV/atom
ΔE_f ... 55 meV/atom
Space-group type ... Fm-3m (225)
Final energy ... -4.158 eV/atom

The structure in extended XYZ format:
```
4
Lattice="0.0000 3.8409 3.8409 3.8409 0.0000 3.8409 3.8409 3.8409 0.0000" Properties=species:S:1:pos:R:3 pbc="T T T"
Sm 1.9204 1.9204 1.9204
Sm 5.7613 5.7613 5.7613
Er 0.0000 0.0000 0.0000
Ag 3.8409 3.8409 3.8409
```

---

K3Sc2TlO6 after structural relaxation. Source: the Alexandria database, functional GGA-PBE.

Summary:
Uncorrected formation energy ... -208 kJ per mole of atoms
Space-group type ... C2/m (12)
Final energy ... -6.158 eV/atom

The structure in extended XYZ format:
```
12
Lattice="2.8798 -4.9893 0.0000 2.8798 4.9893 0.0000 -1.9180 0.0000 6.1999" Properties=species:S:1:pos:R:3 pbc="T T T"
K 0.0000 0.0000 0.0000
K 2.8798 1.6359 0.0000
K 2.8798 -1.6359 0.0000
Sc 1.9208 3.3228 3.0999
Sc 1.9208 -3.3228 3.0999
Tl 1.9208 0.0000 3.0999
O 0.8948 1.7773 1.9514
O -0.1265 0.0000 4.2437
O 0.8948 -1.7773 1.9514
O 2.9467 1.7773 4.2485
O 3.9681 0.0000 1.9562
O 2.9467 -1.7773 4.2485
```

---

RbSc2B2 after structural relaxation. Source: the Alexandria database, functional GGA-PBE.

Summary:
ΔE to the lowest computed polymorph ... 217 meV/atom
ΔE_f ... 765 meV/atom
Space-group type ... P4/mbm (127)
Final energy ... -4.632 eV/atom

The structure in extended XYZ format:
```
10
Lattice="7.9254 0.0000 0.0000 0.0000 7.9254 0.0000 0.0000 0.0000 2.9140" Properties=species:S:1:pos:R:3 pbc="T T T"
Rb 0.0000 0.0000 0.0000
Rb 3.9627 3.9627 0.0000
Sc 1.0370 2.9257 1.4570
Sc 2.9257 6.8884 1.4570
Sc 4.9997 1.0370 1.4570
Sc 6.8884 4.9997 1.4570
B 1.2583 5.2210 0.0000
B 2.7044 1.2583 0.0000
B 5.2210 6.6671 0.0000
B 6.6671 2.7044 0.0000
```

---

TaCdPt after structural relaxation. Source: the Alexandria database, functional GGA-PBE.

Summary:
ΔE_f ... -244 meV/atom
Space-group type ... C2/m (12)
Final energy ... -6.514 eV/atom

The structure in extended XYZ format:
```
6
Lattice="4.7092 -1.4930 0.0000 4.7092 1.4930 0.0000 -3.1375 0.0000 7.6867" Properties=species:S:1:pos:R:3 pbc="T T T"
Ta 1.3404 0.0000 0.6363
Ta 4.9405 0.0000 7.0504
Cd -0.3077 0.0000 4.4533
Cd 6.5885 0.0000 3.2334
Pt 3.9792 0.0000 1.7312
Pt 2.3016 0.0000 5.9555
```

---

Ba3In5Hg6 after structural relaxation. Source: the Alexandria database, functional GGA-PBE.

Summary:
ΔE_f ... -366 meV/atom
Space-group type ... Pmmn (59)
Final energy ... -1.885 eV/atom

The structure in extended XYZ format:
```
28
Lattice="5.2248 0.0000 0.0000 0.0000 15.3817 0.0000 0.0000 0.0000 10.4200" Properties=species:S:1:pos:R:3 pbc="T T T"
Ba 1.3062 0.8060 2.5979
Ba 1.3062 6.8849 2.5979
Ba 1.3062 11.5362 2.7520
Ba 3.9186 3.8454 7.6681
Ba 3.9186 8.4968 7.8222
Ba 3.9186 14.5757 7.8222
In 1.3062 1.4591 6.3742
In 1.3062 6.2317 6.3742
In 1.3062 9.4172 10.1478
In 1.3062 11.5362 7.6930
In 1.3062 13.6553 10.1478
In 3.9186 1.7264 0.2722
In 3.9186 3.8454 2.7270
In 3.9186 5.9645 0.2722
In 3.9186 9.1499 4.0458
In 3.9186 13.9225 4.0458
Hg 1.3062 1.3233 9.2588
Hg 1.3062 3.8454 0.6640
Hg 1.3062 3.8454 4.5563
Hg 1.3062 6.3675 9.2588
Hg 1.3062 9.1802 5.4788
Hg 1.3062 13.8923 5.4788
Hg 3.9186 1.4894 4.9412
Hg 3.9186 6.2015 4.9412
Hg 3.9186 9.0141 1.1613
Hg 3.9186 11.5362 5.8637
Hg 3.9186 11.5362 9.7560
Hg 3.9186 14.0583 1.1613
```

---

AlGaNiN2 after structural relaxation. Source: the Alexandria database, functional GGA-PBE.

Summary:
Uncorrected formation energy ... 104 kJ per mole of atoms
Space-group type ... P4/mmm (123)
Final energy ... -4.760 eV/atom

The structure in extended XYZ format:
```
5
Lattice="3.7132 0.0000 0.0000 0.0000 3.7132 0.0000 0.0000 0.0000 4.9372" Properties=species:S:1:pos:R:3 pbc="T T T"
Al 0.0000 0.0000 0.0000
Ga 1.8566 1.8566 0.0000
Ni 0.0000 0.0000 2.4686
N 0.0000 1.8566 2.4686
N 1.8566 0.0000 2.4686
```

---

CoSiMo2Br after structural relaxation. Source: the Alexandria database, functional GGA-PBE.

Summary:
Uncorrected formation energy ... 202 kJ per mole of atoms
Space-group type ... P4/mmm (123)
Final energy ... -5.075 eV/atom

The structure in extended XYZ format:
```
5
Lattice="4.6143 0.0000 0.0000 0.0000 4.6143 0.0000 0.0000 0.0000 4.8127" Properties=species:S:1:pos:R:3 pbc="T T T"
Co 0.0000 0.0000 0.0000
Si 2.3072 2.3072 0.0000
Mo 0.0000 2.3072 2.4064
Mo 2.3072 0.0000 2.4064
Br 2.3072 2.3072 2.4064
```

---

SmHoTm2 after structural relaxation. Source: the Alexandria database, functional GGA-PBE.

Summary:
ΔE to the lowest computed polymorph ... 0 meV/atom
ΔE_f ... 9 meV/atom
Space-group type ... R3m (160)
Final energy ... -4.551 eV/atom

The structure in extended XYZ format:
```
4
Lattice="1.7800 1.0277 11.3737 -1.7800 1.0277 11.3737 0.0000 -2.0554 11.3737" Properties=species:S:1:pos:R:3 pbc="T T T"
Sm 0.0000 0.0000 0.0000
Ho 0.0000 0.0000 5.6581
Tm 0.0000 0.0000 14.2416
Tm 0.0000 0.0000 19.8529
```